! GGA-PBEsol LiVF6, optimized geometry; values from VASP
! DOS(E_F) = 0.00 states/eV per atom
! Crystal system = tetragonal
! ΔE_f (raw) = -2.82 eV/atom
! Total magnetization = 0.00 μB/f.u.
&SYSTEM
  ibrav = 0, nat = 16, ntyp = 3
/
ATOMIC_SPECIES
Li 6.94 Li.upf
V 50.94 V.upf
F 19.00 F.upf
ATOMIC_POSITIONS crystal
Li 0.000 0.000 0.349
Li 0.500 0.500 0.849
V 0.000 0.000 0.996
V 0.500 0.500 0.496
F 0.178 0.822 0.151
F 0.198 0.802 0.857
F 0.234 0.766 0.488
F 0.266 0.266 0.988
F 0.302 0.302 0.357
F 0.322 0.322 0.651
F 0.698 0.698 0.357
F 0.678 0.678 0.651
F 0.734 0.734 0.988
F 0.766 0.234 0.488
F 0.822 0.178 0.151
F 0.802 0.198 0.857
CELL_PARAMETERS angstrom
4.748 0.000 0.000
0.000 4.748 0.000
0.000 0.000 8.585